{"formula": "YCdH6Rh2", "functional": "PBE-GGA", "state": "relaxed", "cell": [[6.089, -0.220, 0.218], [-0.964, 6.016, 0.218], [-1.238, -1.400, 5.279]], "species": ["H", "H", "H", "H", "H", "H", "H", "H", "H", "H", "H", "H", "Cd", "Cd", "Rh", "Rh", "Rh", "Rh", "Y", "Y"], "frac_coords": [[0.165, 0.163, 0.063], [0.474, 0.686, 0.138], [0.965, 0.446, 0.118], [0.526, 0.314, 0.862], [0.837, 0.835, 0.437], [0.163, 0.165, 0.563], [0.686, 0.474, 0.638], [0.314, 0.526, 0.362], [0.446, 0.965, 0.618], [0.554, 0.035, 0.382], [0.835, 0.837, 0.937], [0.035, 0.554, 0.882], [0.622, 0.378, 0.250], [0.378, 0.622, 0.750], [0.083, 0.317, 0.323], [0.917, 0.683, 0.677], [0.683, 0.917, 0.177], [0.317, 0.083, 0.823], [0.836, 0.164, 0.750], [0.164, 0.836, 0.250]], "space_group": "C2/c", "e_tot_ev_per_atom": -4.51, "magnetic_moment_mub_per_cell": 0.000}


{"formula": "BaHg2Pt", "functional": "PBE-GGA", "state": "relaxed", "cell": [[3.835, 0.000, 0.000], [0.000, 3.839, 0.000], [0.000, 0.000, 7.357]], "species": ["Ba", "Pt", "Hg", "Hg"], "frac_coords": [[0.500, 0.500, 0.720], [0.000, 0.000, 0.452], [0.500, 0.500, 0.277], [0.000, 0.000, 0.050]], "space_group": "P4mm", "e_tot_ev_per_atom": -2.45, "formation_enthalpy_0k_mev_per_atom": -307, "magnetic_moment_mub_per_cell": 0.000}


{"formula": "HfAl3Hg", "functional": "PBE-GGA", "state": "relaxed", "cell": [[5.344, 0.000, 0.000], [0.000, 5.344, 0.000], [0.000, 0.000, 5.344]], "species": ["Al", "Al", "Al", "Hg", "Hf"], "frac_coords": [[0.000, 0.500, 0.000], [0.500, 0.000, 0.000], [0.000, 0.000, 0.500], [0.500, 0.500, 0.500], [0.000, 0.000, 0.000]], "e_above_lowest_polymorph_mev_per_atom": 62, "space_group": "Pm-3m", "e_tot_ev_per_atom": -3.34, "formation_enthalpy_0k_mev_per_atom": 959, "magnetic_moment_mub_per_cell": 0.000}


{"formula": "K2BeCu", "functional": "PBE-GGA", "state": "relaxed", "cell": [[11.965, 0.000, 0.000], [0.000, 11.965, 0.000], [5.983, 5.983, 2.159]], "species": ["Cu", "Cu", "K", "K", "K", "K", "Be", "Be"], "frac_coords": [[0.000, 0.000, 0.000], [0.750, 0.250, 0.500], [0.375, 0.194, 0.750], [0.875, 0.056, 0.750], [0.806, 0.125, 0.250], [0.944, 0.625, 0.250], [0.250, 0.750, 0.500], [0.500, 0.500, 0.000]], "space_group": "I-42d", "e_tot_ev_per_atom": -1.99, "formation_enthalpy_0k_mev_per_atom": 512, "magnetic_moment_mub_per_cell": 0.000}


{"formula": "Pr2SmPd", "functional": "PBE-GGA", "state": "relaxed", "cell": [[-3.440, -0.852, -1.152], [1.041, -3.545, -0.485], [-2.271, -1.775, 8.095]], "species": ["Pd", "Sm", "Pr", "Pr"], "frac_coords": [[0.500, 0.500, 0.000], [0.500, 0.500, 0.500], [0.000, 0.000, 0.798], [0.000, 0.000, 0.202]], "e_above_lowest_polymorph_mev_per_atom": 94, "space_group": "P4/mmm", "e_tot_ev_per_atom": -5.17, "formation_enthalpy_0k_mev_per_atom": -306, "magnetic_moment_mub_per_cell": 0.000}


{"formula": "Pr6Dy2Mg", "functional": "PBE-GGA", "state": "relaxed", "cell": [[-3.156, -4.158, -3.387], [-7.021, 2.689, 8.958], [-7.405, 8.891, 1.701]], "species": ["Dy", "Dy", "Dy", "Dy", "Pr", "Pr", "Pr", "Pr", "Pr", "Pr", "Pr", "Pr", "Pr", "Pr", "Pr", "Pr", "Mg", "Mg"], "frac_coords": [[0.055, 0.329, 0.171], [0.445, 0.829, 0.671], [0.945, 0.671, 0.829], [0.555, 0.171, 0.329], [0.081, 0.081, 0.580], [0.771, 0.995, 0.846], [0.571, 0.346, 0.495], [0.071, 0.495, 0.346], [0.229, 0.005, 0.154], [0.919, 0.919, 0.420], [0.271, 0.846, 0.995], [0.419, 0.420, 0.919], [0.729, 0.154, 0.005], [0.429, 0.654, 0.505], [0.581, 0.580, 0.081], [0.929, 0.505, 0.654], [0.250, 0.250, 0.750], [0.750, 0.750, 0.250]], "e_above_lowest_polymorph_mev_per_atom": 35, "space_group": "Ibam", "e_tot_ev_per_atom": -4.33, "formation_enthalpy_0k_mev_per_atom": 57, "magnetic_moment_mub_per_cell": 0.000}


{"formula": "ZrUV", "functional": "PBE-GGA", "state": "relaxed", "cell": [[-3.230, 0.746, 0.265], [-0.746, -2.491, -2.074], [1.086, -6.143, 9.653]], "species": ["Zr", "Zr", "U", "U", "V", "V"], "frac_coords": [[0.927, 0.927, 0.854], [0.073, 0.073, 0.146], [0.659, 0.659, 0.317], [0.341, 0.341, 0.683], [0.207, 0.207, 0.415], [0.793, 0.793, 0.585]], "e_above_lowest_polymorph_mev_per_atom": 0, "space_group": "I4/mmm", "e_tot_ev_per_atom": -9.13, "formation_enthalpy_0k_mev_per_atom": 526, "magnetic_moment_mub_per_cell": 0.000}


{"formula": "Tb4MgTl3", "functional": "PBE-GGA", "state": "relaxed", "cell": [[5.173, 0.000, -1.396], [-0.372, 5.164, -1.379], [-0.481, -0.556, 8.497]], "species": ["Mg", "Tl", "Tl", "Tl", "Tb", "Tb", "Tb", "Tb"], "frac_coords": [[0.500, 0.000, 0.000], [0.746, 0.245, 0.491], [0.000, 0.500, 0.000], [0.254, 0.755, 0.509], [0.375, 0.375, 0.750], [0.125, 0.125, 0.250], [0.625, 0.625, 0.250], [0.875, 0.875, 0.750]], "e_above_lowest_polymorph_mev_per_atom": 0, "space_group": "C2/m", "e_tot_ev_per_atom": -3.70, "formation_enthalpy_0k_mev_per_atom": -297, "magnetic_moment_mub_per_cell": 0.000}